Record 1
# CeNp2FeN5

An optimized crystal structure of CeNp2FeN5 (GGA-PBE, Alexandria via LeMat-Bulk).

Computed properties:
Formation energy from raw total energies (eV per atom): -0.995
Total DFT energy (no corrections) (eV for the cell shown): -181.71
ρ (g/cm3): 11.04
Space group: I4/mcm
DOS at the Fermi energy (states/eV/f.u.): 10.420

Cell: 6.357 6.357 7.109 Å, 116.56 116.56 90.00°
Each line ends with the local moment (μB).
Sites, in units of the cell vectors:
Ce1 0.250 0.250 0.500  0.47
Ce2 0.750 0.750 0.500  0.47
Np1 0.171 0.329 0.000  2.60
Np2 0.671 0.171 0.000  2.60
Np3 0.329 0.829 0.000  2.60
Np4 0.829 0.671 0.000  2.60
Fe1 0.250 0.750 0.500  -0.29
Fe2 0.750 0.250 0.500  -0.29
N1 0.988 0.488 0.274  -0.09
N2 0.714 0.214 0.726  -0.09
N3 0.012 0.512 0.726  -0.09
N4 0.214 0.012 0.726  -0.09
N5 0.512 0.714 0.726  -0.09
N6 0.786 0.988 0.274  -0.09
N7 0.488 0.286 0.274  -0.09
N8 0.286 0.786 0.274  -0.09
N9 0.500 0.500 0.000  -0.15
N10 0.000 0.000 0.000  -0.15

Record 2
# DyTaIrRu

An optimized crystal structure of DyTaIrRu (GGA-PBE, Alexandria via LeMat-Bulk).

Computed properties:
Total DFT energy (no corrections) (eV for the cell shown): -36.20
ρ (g/cm3): 14.86
Space group: F-43m
DOS at the Fermi energy (states/eV/f.u.): 3.666
ΔE_f (meV/atom): -401

Cell: 4.651 4.651 4.651 Å, 60.00 60.00 60.00°
Sites, in units of the cell vectors:
Ru1 0.750 0.750 0.750
Ir1 0.250 0.250 0.250
Dy1 0.500 0.500 0.500
Ta1 0.000 0.000 0.000

Record 3
# Lu2NpSe

An optimized crystal structure of Lu2NpSe (GGA-PBE, Alexandria via LeMat-Bulk).

Computed properties:
Formation energy from raw total energies (eV per atom): -0.172
Total DFT energy (no corrections) (eV for the cell shown): -26.16
ρ (g/cm3): 9.92
Space group: R-3m
DOS at the Fermi energy (states/eV/f.u.): 8.336

Cell: 3.539 3.539 10.479 Å, 80.28 80.28 60.00°
Each line ends with the local moment (μB).
Sites, in units of the cell vectors:
Np1 0.000 0.000 0.000  4.54
Lu1 0.106 0.106 0.682  0.07
Lu2 0.894 0.894 0.318  0.07
Se1 0.500 0.500 0.500  0.00

Record 4
# SrLi2Tl2

An optimized crystal structure of SrLi2Tl2 (GGA-PBE, Alexandria via LeMat-Bulk).

Computed properties:
Total DFT energy (no corrections) (eV for the cell shown): -11.48
ρ (g/cm3): 6.25
Space group: I4/mmm
DOS at the Fermi energy (states/eV/f.u.): 2.950
ΔE_f (meV/atom): -248
Polymorph energy (0 for the lowest one) (meV/atom): 0

Cell: 4.376 4.376 7.725 Å, 73.55 73.55 90.00°
Sites, in units of the cell vectors:
Sr1 0.000 0.000 0.000
Tl1 0.385 0.385 0.229
Tl2 0.615 0.615 0.771
Li1 0.750 0.250 0.500
Li2 0.250 0.750 0.500

Record 5
# CuAgPd2O

An optimized crystal structure of CuAgPd2O (GGA-PBE, Alexandria via LeMat-Bulk).

Computed properties:
Formation energy from raw total energies (eV per atom): 0.321
Total DFT energy (no corrections) (eV for the cell shown): -20.68
ρ (g/cm3): 8.12
Space group: P4/mmm
DOS at the Fermi energy (states/eV/f.u.): 4.126

Cell: 4.890 3.424 4.890 Å, 90.00 90.00 90.00°
Sites, in units of the cell vectors:
O1 0.000 0.500 0.000
Cu1 0.000 0.000 0.000
Pd1 0.000 0.000 0.500
Pd2 0.500 0.000 0.000
Ag1 0.500 0.500 0.500

Record 6
# BaTb4DyO12

An optimized crystal structure of BaTb4DyO12 (GGA-PBE, Alexandria via LeMat-Bulk).

Computed properties:
Formation energy from raw total energies (eV per atom): -2.310
Total DFT energy (no corrections) (eV for the cell shown): -126.12
ρ (g/cm3): 5.62
Space group: Amm2
DOS at the Fermi energy (states/eV/f.u.): 5.712

Cell: 6.163 6.163 8.797 Å, 90.00 90.00 94.43°
Each line ends with the local moment (μB).
Sites, in units of the cell vectors:
Ba1 0.420 0.420 0.000  -0.01
Tb1 0.983 0.531 0.734  -0.01
Tb2 0.983 0.531 0.266  -0.01
Tb3 0.531 0.983 0.266  -0.01
Tb4 0.531 0.983 0.734  -0.01
Dy1 0.069 0.069 0.500  -0.06
O1 0.705 0.304 0.797  0.51
O2 0.304 0.705 0.797  0.51
O3 0.304 0.705 0.203  0.51
O4 0.705 0.304 0.203  0.51
O5 0.216 0.216 0.738  0.62
O6 0.852 0.852 0.658  0.34
O7 0.852 0.852 0.342  0.34
O8 0.216 0.216 0.262  0.62
O9 0.932 0.496 0.000  0.76
O10 0.983 0.405 0.500  0.16
O11 0.496 0.932 0.000  0.76
O12 0.405 0.983 0.500  0.16

Record 7
# KPd4Br12

An optimized crystal structure of KPd4Br12 (GGA-PBE, Alexandria via LeMat-Bulk).

Computed properties:
Formation energy from raw total energies (eV per atom): -0.375
Total DFT energy (no corrections) (eV for the cell shown): -48.32
ρ (g/cm3): 4.96
Space group: Im-3
DOS at the Fermi energy (states/eV/f.u.): 11.685

Cell: 8.524 8.524 8.524 Å, 109.47 109.47 109.47°
Sites, in units of the cell vectors:
K1 0.000 0.000 0.000
Pd1 0.000 0.500 0.000
Pd2 0.500 0.000 0.000
Pd3 0.500 0.500 0.500
Pd4 0.000 0.000 0.500
Br1 0.814 0.304 0.118
Br2 0.304 0.490 0.186
Br3 0.882 0.186 0.696
Br4 0.304 0.118 0.814
Br5 0.118 0.814 0.304
Br6 0.696 0.510 0.814
Br7 0.490 0.186 0.304
Br8 0.510 0.814 0.696
Br9 0.696 0.882 0.186
Br10 0.814 0.696 0.510
Br11 0.186 0.304 0.490
Br12 0.186 0.696 0.882

Record 8
# SiAgHg2

An optimized crystal structure of SiAgHg2 (GGA-PBE, Alexandria via LeMat-Bulk).

Computed properties:
Formation energy from raw total energies (eV per atom): 0.344
Total DFT energy (no corrections) (eV for the cell shown): -7.50
ρ (g/cm3): 10.71
Space group: R-3m
DOS at the Fermi energy (states/eV/f.u.): 1.333

Cell: 11.130 11.130 11.130 Å, 15.27 15.27 15.27°
Sites, in units of the cell vectors:
Ag1 0.750 0.750 0.750
Hg1 0.003 0.003 0.003
Hg2 0.497 0.497 0.497
Si1 0.250 0.250 0.250

Record 9
# CaLaIn

An optimized crystal structure of CaLaIn (GGA-PBE, Alexandria via LeMat-Bulk).

Computed properties:
Total DFT energy (no corrections) (eV for the cell shown): -10.38
ρ (g/cm3): 4.31
Space group: F-43m
DOS at the Fermi energy (states/eV/f.u.): 0.992
ΔE_f (meV/atom): -238
Polymorph energy (0 for the lowest one) (meV/atom): 207

Cell: 5.431 5.431 5.431 Å, 60.00 60.00 60.00°
Sites, in units of the cell vectors:
Ca1 0.750 0.750 0.750
In1 0.000 0.000 0.000
La1 0.250 0.250 0.250

Record 10
# ErTm6Sc3

An optimized crystal structure of ErTm6Sc3 (GGA-PBE, Alexandria via LeMat-Bulk).

Computed properties:
Total DFT energy (no corrections) (eV for the cell shown): -97.45
ρ (g/cm3): 7.59
Space group: Cmc2_1
DOS at the Fermi energy (states/eV/f.u.): 14.013
ΔE_f (meV/atom): 166

Cell: 6.043 10.531 10.531 Å, 120.77 90.00 90.00°
Sites, in units of the cell vectors:
Er1 0.182 0.209 0.791
Er2 0.682 0.791 0.209
Tm1 0.030 0.707 0.626
Tm2 0.530 0.626 0.707
Tm3 0.355 0.550 0.962
Tm4 0.855 0.962 0.550
Tm5 0.387 0.952 0.048
Tm6 0.663 0.298 0.702
Tm7 0.163 0.702 0.298
Tm8 0.887 0.048 0.952
Tm9 0.355 0.038 0.450
Tm10 0.855 0.450 0.038
Tm11 0.030 0.374 0.293
Tm12 0.530 0.293 0.374
Sc1 0.440 0.928 0.706
Sc2 0.940 0.706 0.928
Sc3 0.103 0.387 0.613
Sc4 0.603 0.613 0.387
Sc5 0.940 0.072 0.294
Sc6 0.440 0.294 0.072

Record 11
# SrAcGe2Pt5

An optimized crystal structure of SrAcGe2Pt5 (GGA-PBE, Alexandria via LeMat-Bulk).

Computed properties:
Total DFT energy (no corrections) (eV for the cell shown): -52.41
ρ (g/cm3): 13.01
Space group: P4/mmm
DOS at the Fermi energy (states/eV/f.u.): 4.987
ΔE_f (meV/atom): -798

Cell: 4.456 4.456 9.225 Å, 90.00 90.00 90.00°
Sites, in units of the cell vectors:
Sr1 0.000 0.000 0.000
Ac1 0.000 0.000 0.500
Ge1 0.500 0.500 0.145
Ge2 0.500 0.500 0.855
Pt1 0.000 0.500 0.267
Pt2 0.500 0.000 0.267
Pt3 0.000 0.500 0.733
Pt4 0.500 0.000 0.733
Pt5 0.500 0.500 0.500

Record 12
# NbHg3P

An optimized crystal structure of NbHg3P (GGA-PBE, Alexandria via LeMat-Bulk).

Computed properties:
Total DFT energy (no corrections) (eV for the cell shown): -11.09
ρ (g/cm3): 9.38
Space group: Pm-3m
DOS at the Fermi energy (states/eV/f.u.): 4.166
ΔE_f (meV/atom): 1058
Polymorph energy (0 for the lowest one) (meV/atom): 0

Cell: 5.046 5.046 5.046 Å, 90.00 90.00 90.00°
Each line ends with the local moment (μB).
Sites, in units of the cell vectors:
P1 0.000 0.000 0.000  0.08
Nb1 0.500 0.500 0.500  2.68
Hg1 0.000 0.500 0.000  0.02
Hg2 0.000 0.000 0.500  0.00
Hg3 0.500 0.000 0.000  0.03

- Which of these has the highest DOS at the Fermi energy?
  ErTm6Sc3

What did the second record say?
# DyTaIrRu

An optimized crystal structure of DyTaIrRu (GGA-PBE, Alexandria via LeMat-Bulk).

Computed properties:
Total DFT energy (no corrections) (eV for the cell shown): -36.20
ρ (g/cm3): 14.86
Space group: F-43m
DOS at the Fermi energy (states/eV/f.u.): 3.666
ΔE_f (meV/atom): -401

Cell: 4.651 4.651 4.651 Å, 60.00 60.00 60.00°
Sites, in units of the cell vectors:
Ru1 0.750 0.750 0.750
Ir1 0.250 0.250 0.250
Dy1 0.500 0.500 0.500
Ta1 0.000 0.000 0.000

- Number 5 is which compound?
  CuAgPd2O